Record 1
Density functional theory data (PBE) for a geometry-optimized Sm3Ag7Ge4 structure.

density	8.6	g/cm3
total magnetic moment	0.000	μB per formula unit
calculated formation energy	-0.3761	eV per atom
DOS at the Fermi energy	0.396	states/eV per atom

Cell: 4.4288 8.4432 8.6098 Å, 70.32 75.10 74.80°
Sites, in units of the cell vectors:
Ge  0.6578  0.4520  0.2324
Ge  0.1213  0.0929  0.6645
Ge  0.8787  0.9071  0.3355
Ge  0.3422  0.5480  0.7676
Ag  0.0000  0.0000  0.0000
Ag  0.6721  0.1721  0.4837
Ag  0.3279  0.8279  0.5163
Ag  0.4900  0.2081  0.8119
Ag  0.1552  0.6109  0.0787
Ag  0.8448  0.3891  0.9213
Ag  0.5100  0.7919  0.1881
Sm  0.3023  0.1915  0.2039
Sm  0.0000  0.5000  0.5000
Sm  0.6977  0.8085  0.7961



Record 2
Density functional theory data (PBE) for a geometry-optimized SmAg4Ge2 structure.

density	8.7	g/cm3
total magnetic moment	0.000	μB per formula unit
calculated formation energy	-0.2527	eV per atom
DOS at the Fermi energy	0.293	states/eV per atom

Cell: 4.1728 4.2047 8.1589 Å, 104.93 90.00 90.00°
Sites, in units of the cell vectors:
Ag  0.0000  0.6842  0.3683
Ag  0.5000  0.8179  0.6357
Ag  0.0000  0.3158  0.6317
Ag  0.5000  0.1821  0.3643
Ge  0.5000  0.5774  0.1547
Ge  0.5000  0.4226  0.8453
Sm  0.0000  0.0000  0.0000



Record 3
Density functional theory data (PBE) for a geometry-optimized Sm3AgGe structure.

density	7.6	g/cm3
total magnetic moment	0.000	μB per formula unit
calculated formation energy	-0.3787	eV per atom
DOS at the Fermi energy	0.960	states/eV per atom

Cell: 4.2548 7.3330 9.2059 Å, 89.41 90.22 107.10°
Sites, in units of the cell vectors:
Ge  0.4155  0.8625  0.2774
Ge  0.6284  0.2914  0.1443
Sm  0.6117  0.2652  0.8204
Sm  0.2646  0.5630  0.0354
Sm  0.9723  0.9813  0.0452
Sm  0.4323  0.8890  0.6011
Sm  0.7794  0.5912  0.3861
Sm  0.0718  0.1729  0.3763
Ag  0.2088  0.4574  0.6347
Ag  0.8351  0.6966  0.7867



Record 4
Density functional theory data (PBE) for a geometry-optimized Sm2AgGe6 structure.

density	7.3	g/cm3
total magnetic moment	0.000	μB per formula unit
calculated formation energy	-0.3443	eV per atom
DOS at the Fermi energy	0.180	states/eV per atom

Cell: 11.3802 11.3802 4.1657 Å, 90.00 90.00 159.07°
Sites, in units of the cell vectors:
Ge  0.1222  0.8778  0.0000
Ge  0.6217  0.3783  0.5000
Ge  0.0099  0.9901  0.0000
Ge  0.5096  0.4904  0.5000
Ge  0.7604  0.2396  0.0000
Ge  0.3287  0.6713  0.0000
Sm  0.8789  0.1211  0.5000
Sm  0.2213  0.7787  0.5000
Ag  0.4403  0.5597  0.0000



Record 5
Density functional theory data (PBE) for a geometry-optimized TbSmAgGe structure.

density	8.4	g/cm3
total magnetic moment	0.003	μB per formula unit
calculated formation energy	-0.5263	eV per atom
DOS at the Fermi energy	0.974	states/eV per atom

Cell: 5.1447 5.1447 5.1447 Å, 60.00 60.00 60.00°
Sites, in units of the cell vectors:
Ag  0.7500  0.7500  0.7500
Ge  0.2500  0.2500  0.2500
Sm  0.5000  0.5000  0.5000
Tb  0.0000  0.0000  0.0000



Record 6
Density functional theory data (PBE) for a geometry-optimized SmAgGe2Te4 structure.

density	6.6	g/cm3
total magnetic moment	0.000	μB per formula unit
DOS at the Fermi energy	0.014	states/eV per atom
E_tot	-4.101	eV per atom

Cell: 4.3293 7.3985 7.6595 Å, 109.84 90.00 90.00°
Sites, in units of the cell vectors:
Te  0.0000  0.7534  0.2659
Te  0.5000  0.2473  0.2560
Te  0.5000  0.7527  0.7440
Te  0.0000  0.2466  0.7341
Ag  0.0000  0.0000  0.0000
Sm  0.5000  0.5000  0.0000
Ge  0.5000  0.0000  0.5000
Ge  0.0000  0.5000  0.5000



Record 7
Density functional theory data (PBE) for a geometry-optimized SmAg2GeTe4 structure.

density	7.0	g/cm3
total magnetic moment	0.000	μB per formula unit
DOS at the Fermi energy	0.762	states/eV per atom
E_tot	-3.858	eV per atom

Cell: 4.3548 7.6701 7.1888 Å, 110.28 90.00 90.00°
Sites, in units of the cell vectors:
Sm  0.5000  0.5000  0.0000
Te  0.5000  0.2403  0.2543
Te  0.5000  0.7597  0.7457
Te  0.0000  0.7655  0.2556
Te  0.0000  0.2345  0.7444
Ge  0.0000  0.0000  0.0000
Ag  0.5000  0.0000  0.5000
Ag  0.0000  0.5000  0.5000



Record 8
Density functional theory data (PBE) for a geometry-optimized Sm2Ag3GeTe6 structure.

density	6.9	g/cm3
total magnetic moment	0.000	μB per formula unit
DOS at the Fermi energy	0.362	states/eV per atom
E_tot	-4.015	eV per atom

Cell: 4.2973 8.2648 10.3332 Å, 101.19 102.00 90.00°
Sites, in units of the cell vectors:
Te  0.3486  0.9643  0.6973
Te  0.0120  0.2644  0.0241
Te  0.6514  0.0357  0.3027
Te  0.6665  0.5859  0.3330
Te  0.3335  0.4141  0.6670
Te  0.9880  0.7356  0.9759
Ag  0.7935  0.1728  0.5870
Ag  0.2065  0.8272  0.4130
Ag  0.5000  0.5000  0.0000
Sm  0.1743  0.3134  0.3485
Sm  0.8257  0.6866  0.6515
Ge  0.5000  0.0000  0.0000



- The lowest density belongs to which entry?
  SmAgGe2Te4